Computed, not measured: crystalline Cd2Ag7SnSb2 at its relaxed geometry at the PBE level of DFT.

Properties
space group: C2/m, No. 12
ρ: 8788 kg/m3
E_form (uncorrected): 0.049 eV/atom

Unit cell a=4.366 b=4.366 c=14.641 alpha=73.02 beta=73.02 gamma=91.05
Element x y z (fractional)
Ag1 0.243 0.243 0.500
Ag2 0.654 0.155 0.845
Sb1 0.685 0.685 0.316
Ag3 0.346 0.845 0.155
Ag4 0.500 0.500 0.000
Ag5 0.845 0.346 0.155
Sb2 0.315 0.315 0.684
Cd1 0.813 0.813 0.686
Cd2 0.187 0.187 0.314
Ag6 0.155 0.654 0.845
Ag7 0.757 0.757 0.500
Sn1 0.000 0.000 0.000